Entry 1:
The following is a DFT calculation (SCAN) of a crystal of Li3Rh relaxed with PBEsol.

DFT total energy   -10.359 eV per atom
Crystal system   monoclinic
Symmetry   P2/m (10)

```
Li3Rh
1.0
-0.5140 -1.3183 -2.0908
-1.8362 -3.0989 2.4053
-4.3046 2.7068 0.2011
Rh Li
1 3
Direct
0.5000 0.5000 0.0000
0.8234 0.0000 0.7768
0.0000 0.5000 0.5000
0.1766 0.0000 0.2232
```

***

Entry 2:
The following is a DFT calculation (SCAN) of a crystal of Li4AsPb relaxed with PBEsol.

DFT total energy   -17.722 eV per atom
Crystal system   cubic
Symmetry   F-43m (216)

```
Li4AsPb
1.0
5.3159 0.0000 0.0000
2.6580 4.6037 0.0000
2.6580 1.5346 4.3404
As Li Pb
1 4 1
Direct
0.0000 0.0000 0.0000
0.3749 0.3749 0.3749
0.3749 0.3749 0.8754
0.8754 0.3749 0.3749
0.3749 0.8754 0.3749
0.7500 0.7500 0.7500
```

***

Entry 3:
The following is a DFT calculation (SCAN) of a crystal of Rb2MnZnSb relaxed with PBEsol.

Formation energy from raw total energies   179 meV/atom
DFT total energy   -21.923 eV per atom
Crystal system   tetragonal
Symmetry   P4/mmm (123)

```
Rb2MnZnSb
1.0
-0.5853 4.8964 -0.1030
-5.7942 -0.7614 -3.2735
-3.2655 -0.2674 5.8424
Sb Zn Mn Rb
1 1 1 2
Direct
0.5000 0.0000 0.0000
0.5000 0.5000 0.5000
0.0000 0.0000 0.0000
0.0000 0.0000 0.5000
0.0000 0.5000 0.0000
```